i.
Ac4I3N2: relaxed, PBE.

Summary:
total magnetic moment: 1.4 μB/cell
symmetry: Imma (74)

```
Ac4I3N2
1.0
-4.0173 10.7456 4.1544
4.0173 -10.7456 4.1544
4.0173 10.7456 -4.1544
Ac I N
8 6 4
direct
0.1377 0.0000 0.6377 Ac
0.1377 0.5000 0.1377 Ac
0.2216 0.1709 0.0507 Ac
0.3799 0.8291 0.5507 Ac
0.6201 0.1709 0.4493 Ac
0.7784 0.8291 0.9493 Ac
0.8623 0.0000 0.3623 Ac
0.8623 0.5000 0.8623 Ac
0.1490 0.8990 0.2500 I
0.2123 0.5494 0.6629 I
0.3865 0.5494 0.8371 I
0.6135 0.4506 0.1629 I
0.7877 0.4506 0.3371 I
0.8510 0.1010 0.7500 I
0.0650 0.1261 0.9389 N
0.3128 0.8739 0.4389 N
0.6872 0.1261 0.5611 N
0.9350 0.8739 0.0611 N
```


ii.
Ac4I3N2: relaxed, PBE.

Summary:
total magnetic moment: 0.0 μB/cell
symmetry: C2/m (12)

```
Ac4I3N2
1.0
8.2229 -1.9304 0.0000
8.2229 1.9304 0.0000
-2.7087 0.0000 9.2485
Ac I N
4 3 2
direct
0.0937 0.0937 0.2250 Ac
0.3132 0.3132 0.4013 Ac
0.6868 0.6868 0.5987 Ac
0.9063 0.9063 0.7750 Ac
0.0000 0.0000 0.5000 I
0.4004 0.4004 0.0885 I
0.5996 0.5996 0.9115 I
0.3076 0.3076 0.6708 N
0.6924 0.6924 0.3292 N
```


Quick look at relative energies in kJ/mol of atoms: i 0.0; ii 5.6.


i.
Ac4I5N2: relaxed, PBE.

Summary:
total magnetic moment: 0.0 μB/cell
symmetry: Immm (71)

```
Ac4I5N2
1.0
-2.0651 4.6231 9.9099
2.0651 -4.6231 9.9099
2.0651 4.6231 -9.9099
Ac I N
4 5 2
direct
0.1561 0.1561 0.0000 Ac
0.1919 0.5000 0.6919 Ac
0.8081 0.5000 0.3081 Ac
0.8439 0.8439 0.0000 Ac
0.1264 0.3355 0.7908 I
0.4553 0.6645 0.7908 I
0.5000 0.0000 0.5000 I
0.5447 0.3355 0.2092 I
0.8736 0.6645 0.2092 I
0.0350 0.0350 0.0000 N
0.9650 0.9650 0.0000 N
```


ii.
Ac4I5N2: relaxed, PBE.

Summary:
total magnetic moment: 0.0 μB/cell
symmetry: C2/m (12)

```
Ac4I5N2
1.0
12.1558 -2.0796 0.0000
12.1558 2.0796 0.0000
-1.6029 0.0000 8.1998
Ac I N
4 5 2
direct
0.0483 0.0483 0.2001 Ac
0.3924 0.3924 0.1500 Ac
0.6076 0.6076 0.8500 Ac
0.9517 0.9517 0.7999 Ac
0.1523 0.1523 0.5785 I
0.1884 0.1884 0.1253 I
0.5000 0.5000 0.5000 I
0.8116 0.8116 0.8747 I
0.8477 0.8477 0.4215 I
0.0505 0.0505 0.9078 N
0.9495 0.9495 0.0922 N
```


Quick look at relative energies in kJ/mol of atoms: i 19.1; ii 0.0.


i.
Ac2I2N: relaxed, PBE.

Summary:
total magnetic moment: 0.0 μB/cell
symmetry: C2/m (12)

```
Ac2I2N
1.0
7.7487 -2.0894 0.0000
7.7487 2.0894 0.0000
-7.7478 0.0000 10.6029
Ac I N
4 4 2
direct
0.1246 0.1246 0.4320 Ac
0.3512 0.3512 0.8144 Ac
0.6488 0.6488 0.1856 Ac
0.8754 0.8754 0.5680 Ac
0.0712 0.0712 0.9155 I
0.3705 0.3705 0.3261 I
0.6295 0.6295 0.6739 I
0.9288 0.9288 0.0845 I
0.3159 0.3159 0.6142 N
0.6841 0.6841 0.3858 N
```


ii.
Ac2I2N: relaxed, PBE.

Summary:
total magnetic moment: 3.9 μB/cell
symmetry: P2_1/c (14)

```
Ac2I2N
1.0
11.5648 0.0000 0.0000
0.0000 7.9530 0.0000
-2.0858 0.0000 7.9482
Ac I N
8 8 4
direct
0.0204 0.1654 0.3438 Ac
0.0204 0.3346 0.8438 Ac
0.2999 0.1152 0.7485 Ac
0.2999 0.3848 0.2485 Ac
0.7001 0.6152 0.7515 Ac
0.7001 0.8848 0.2515 Ac
0.9796 0.6654 0.1562 Ac
0.9796 0.8346 0.6562 Ac
0.1875 0.5550 0.5951 I
0.1875 0.9450 0.0951 I
0.4717 0.7395 0.4085 I
0.4717 0.7605 0.9085 I
0.5283 0.2395 0.0915 I
0.5283 0.2605 0.5915 I
0.8125 0.0550 0.9049 I
0.8125 0.4450 0.4049 I
0.0913 0.1054 0.6498 N
0.0913 0.3946 0.1498 N
0.9087 0.6054 0.8502 N
0.9087 0.8946 0.3502 N
```


Quick look at relative energies in kJ/mol of atoms: i 0.0; ii 13.1.


i.
AcNd2I: relaxed, PBE.

Summary:
total magnetic moment: 0.0 μB/cell
symmetry: P4/mmm (123)

```
AcNd2I
1.0
3.8135 0.0000 0.0000
0.0000 3.8135 0.0000
0.0000 0.0000 9.8734
Ac Nd I
1 2 1
direct
0.0000 0.0000 0.0000 Ac
0.5000 0.5000 0.2662 Nd
0.5000 0.5000 0.7338 Nd
0.0000 0.0000 0.5000 I
```


ii.
AcNd2I: relaxed, PBE.

Summary:
total magnetic moment: 0.0 μB/cell
symmetry: R-3m (166)

```
AcNd2I
1.0
1.9589 1.1310 10.9526
-1.9589 1.1310 10.9526
0.0000 -2.2619 10.9526
Ac Nd I
1 2 1
direct
0.0000 0.0000 0.0000 Ac
0.2427 0.2427 0.2427 Nd
0.7573 0.7573 0.7573 Nd
0.5000 0.5000 0.5000 I
```


iii.
AcNd2I: relaxed, PBE.

Summary:
total magnetic moment: 0.0 μB/cell
symmetry: R3m (160)

```
AcNd2I
1.0
1.9576 1.1302 11.0531
-1.9576 1.1302 11.0531
0.0000 -2.2605 11.0531
Ac Nd I
1 2 1
direct
0.0000 0.0000 0.0000 Ac
0.5750 0.5750 0.5750 Nd
0.7586 0.7586 0.7586 Nd
0.1668 0.1668 0.1668 I
```


Quick look at relative energies in kJ/mol of atoms: i 9.1; ii 0.0; iii 4.8.


i.
AcNdI2: relaxed, PBE.

Summary:
total magnetic moment: 0.6 μB/cell
symmetry: R-3m (166)

```
AcNdI2
1.0
2.0108 1.1610 11.3266
-2.0108 1.1610 11.3266
0.0000 -2.3219 11.3266
Ac Nd I
1 1 2
direct
0.0000 0.0000 0.0000 Ac
0.5000 0.5000 0.5000 Nd
0.1002 0.1002 0.1002 I
0.8998 0.8998 0.8998 I
```


ii.
AcNdI2: relaxed, PBE.

Summary:
total magnetic moment: 0.0 μB/cell
symmetry: R3m (160)

```
AcNdI2
1.0
2.0077 1.1592 10.0492
-2.0077 1.1592 10.0492
0.0000 -2.3183 10.0492
Ac Nd I
1 1 2
direct
0.0000 0.0000 0.0000 Ac
0.8365 0.8365 0.8365 Nd
0.4242 0.4242 0.4242 I
0.5796 0.5796 0.5796 I
```


Quick look at relative energies in kJ/mol of atoms: i 8.3; ii 0.0.


i.
AcNdI: relaxed, PBE.

Summary:
total magnetic moment: 0.4 μB/cell
symmetry: P3m1 (156)

```
AcNdI
1.0
4.0458 0.0000 0.0000
-2.0229 3.5037 0.0000
0.0000 0.0000 8.2776
Ac Nd I
1 1 1
direct
0.0000 0.0000 0.0000 Ac
0.6667 0.3333 0.3608 Nd
0.3333 0.6667 0.6541 I
```


ii.
AcNdI: relaxed, PBE.

Summary:
total magnetic moment: 0.0 μB/cell
symmetry: I4mm (107)

```
AcNdI
1.0
-1.9459 1.9459 7.5016
1.9459 -1.9459 7.5016
1.9459 1.9459 -7.5016
Ac Nd I
1 1 1
direct
0.0000 0.0000 0.0000 Ac
0.6783 0.6783 0.0000 Nd
0.3244 0.3244 0.0000 I
```


Quick look at relative energies in kJ/mol of atoms: i 0.0; ii 6.5.


i.
AcNdI4: relaxed, PBE.

Summary:
total magnetic moment: 0.0 μB/cell
symmetry: P2/m (10)

```
AcNdI4
1.0
7.5429 0.0000 0.0000
0.0000 4.3276 0.0000
-2.3865 0.0000 8.3102
Ac Nd I
1 1 4
direct
0.0000 0.0000 0.0000 Ac
0.5000 0.5000 0.0000 Nd
0.2616 0.5000 0.2583 I
0.2653 0.0000 0.7519 I
0.7347 0.0000 0.2481 I
0.7384 0.5000 0.7417 I
```


ii.
AcNdI4: relaxed, PBE.

Summary:
total magnetic moment: 0.0 μB/cell
symmetry: C2/c (15)

```
AcNdI4
1.0
4.3738 -9.5353 0.0000
4.3738 9.5353 0.0000
-4.3422 0.0000 6.4499
Ac Nd I
2 2 8
direct
0.0580 0.9420 0.7500 Ac
0.9420 0.0580 0.2500 Ac
0.4484 0.5516 0.2500 Nd
0.5516 0.4484 0.7500 Nd
0.0851 0.4394 0.2511 I
0.1834 0.3376 0.7610 I
0.3376 0.1834 0.2610 I
0.4394 0.0851 0.7511 I
0.5606 0.9149 0.2489 I
0.6624 0.8166 0.7390 I
0.8166 0.6624 0.2390 I
0.9149 0.5606 0.7489 I
```


Quick look at relative energies in kJ/mol of atoms: i 0.0; ii 5.2.


i.
Ac2IO2: relaxed, PBE.

Summary:
total magnetic moment: 0.3 μB/cell
symmetry: P4/mmm (123)

```
Ac2IO2
1.0
4.1084 0.0000 0.0000
0.0000 4.1084 0.0000
0.0000 0.0000 7.3807
Ac I O
2 1 2
direct
0.0000 0.0000 0.2031 Ac
0.0000 0.0000 0.7969 Ac
0.5000 0.5000 0.5000 I
0.0000 0.5000 0.0000 O
0.5000 0.0000 0.0000 O
```


ii.
Ac2IO2: relaxed, PBE.

Summary:
total magnetic moment: 0.9 μB/cell
symmetry: I4/mmm (139)

```
Ac2IO2
1.0
-2.2257 2.2257 6.5580
2.2257 -2.2257 6.5580
2.2257 2.2257 -6.5580
Ac I O
2 1 2
direct
0.1616 0.1616 0.0000 Ac
0.8384 0.8384 0.0000 Ac
0.5000 0.5000 0.0000 I
0.2500 0.7500 0.5000 O
0.7500 0.2500 0.5000 O
```


Quick look at relative energies in kJ/mol of atoms: i 50.0; ii 0.0.